(1)
! PBE Y2Sc4Zn3C3, optimized geometry; values from VASP
! Total moment   0.04 Bohr magnetons per cell
! Symmetry   C2/c, No. 15
! Crystal system   monoclinic
! Uncorrected energy   -6.205 eV per atom
! Volume   217 Å³/f.u.
&SYSTEM
  ibrav = 0, nat = 24, ntyp = 4
/
ATOMIC_SPECIES
Y 88.91 Y.upf
Sc 44.96 Sc.upf
Zn 65.41 Zn.upf
C 12.01 C.upf
CELL_PARAMETERS angstrom
5.0628 -2.9188 0.0000
5.0628 2.9188 0.0000
-3.3823 0.0000 14.6511
ATOMIC_POSITIONS crystal
Y 0.0352 0.8694 0.6055
Y 0.1306 0.9648 0.8945
Y 0.8694 0.0352 0.1055
Y 0.9648 0.1306 0.3945
Sc 0.1920 0.3564 0.0789
Sc 0.3038 0.4768 0.4212
Sc 0.3564 0.1920 0.5789
Sc 0.4768 0.3038 0.9212
Sc 0.5232 0.6962 0.0788
Sc 0.6437 0.8080 0.4211
Sc 0.6962 0.5232 0.5788
Sc 0.8080 0.6437 0.9211
Zn 0.0837 0.4159 0.7500
Zn 0.4079 0.5921 0.2500
Zn 0.4159 0.0837 0.2500
Zn 0.5841 0.9163 0.7500
Zn 0.5921 0.4079 0.7500
Zn 0.9163 0.5841 0.2500
C 0.0000 0.5000 0.5000
C 0.1695 0.6611 0.0000
C 0.3389 0.8305 0.5000
C 0.5000 0.0000 0.0000
C 0.6611 0.1695 0.5000
C 0.8305 0.3389 0.0000



(2)
! PBE NbAg2B, optimized geometry; values from VASP
! Total moment   0.10 Bohr magnetons per cell
! Symmetry   F-43m, No. 216
! Crystal system   cubic
! Uncorrected energy   -4.863 eV per atom
! Volume   60 Å³/f.u.
&SYSTEM
  ibrav = 0, nat = 4, ntyp = 3
/
ATOMIC_SPECIES
Nb 92.91 Nb.upf
Ag 107.87 Ag.upf
B 10.81 B.upf
CELL_PARAMETERS angstrom
0.0000 3.1121 3.1121
3.1121 0.0000 3.1121
3.1121 3.1121 0.0000
ATOMIC_POSITIONS crystal
Nb 0.0000 0.0000 0.0000
Ag 0.2500 0.2500 0.2500
Ag 0.5000 0.5000 0.5000
B 0.7500 0.7500 0.7500



Q: Among the records above, which one has the lowest uncorrected energy?
A: Y2Sc4Zn3C3



Q: Which value of uncorrected energy does entry 1 give?
A: -6.205 eV per atom